Below is a geometry-optimized ZrRu2Au structure, with properties calculated at the GGA-PBEsol level.

Lattice parameters (Å, degrees): 8.695 8.695 8.695 19.77 19.77 19.77
Fractional positions:
Zr 0.000 0.000 0.000
Ru 0.254 0.254 0.254
Ru 0.746 0.746 0.746
Au 0.500 0.500 0.500

Computed properties:
Energy above the lowest structure with this stoichiometry (meV/atom): 546
Formation energy from the elements (meV per atom): 267.4
SG: R-3m (166)
V (Å³/atom): 16.5
Calculated density (g/cm3): 12.374

***

Below is a geometry-optimized Zr2RuAu structure, with properties calculated at the GGA-PBEsol level.

Lattice parameters (Å, degrees): 3.194 3.194 7.094 90.00 90.00 90.00
Fractional positions:
Zr 0.000 0.000 0.231
Zr 0.000 0.000 0.769
Ru 0.500 0.500 0.000
Au 0.500 0.500 0.500

Computed properties:
Formation energy from the elements (meV per atom): -543.1
SG: P4/mmm (123)
V (Å³/atom): 18.1
Calculated density (g/cm3): 11.025

***

Below is a geometry-optimized Zr2RuAu structure, with properties calculated at the GGA-PBEsol level.

Lattice parameters (Å, degrees): 3.305 4.379 5.371 90.00 107.53 90.00
Fractional positions:
Zr 0.000 0.000 0.000
Zr 0.289 0.500 0.586
Ru 0.744 0.000 0.494
Au 0.564 0.500 0.131

Computed properties:
Formation energy from the elements (meV per atom): -513.0
SG: Pm (6)
V (Å³/atom): 18.5
Calculated density (g/cm3): 10.763

***

Below is a geometry-optimized ZrRu2Au structure, with properties calculated at the GGA-PBEsol level.

Lattice parameters (Å, degrees): 4.018 4.018 3.850 90.00 90.00 90.00
Fractional positions:
Zr 0.000 0.000 0.000
Ru 0.000 0.500 0.500
Ru 0.500 0.000 0.500
Au 0.500 0.500 0.000

Computed properties:
Energy above the lowest structure with this stoichiometry (meV/atom): 0
Formation energy from the elements (meV per atom): -278.8
SG: P4/mmm (123)
V (Å³/atom): 15.5
Calculated density (g/cm3): 13.101

***

Below is a geometry-optimized ZrRu3Au structure, with properties calculated at the GGA-PBEsol level.

Lattice parameters (Å, degrees): 4.704 4.704 4.704 90.00 90.00 90.00
Fractional positions:
Zr 0.000 0.000 0.000
Ru 0.000 0.500 0.500
Ru 0.500 0.000 0.500
Ru 0.500 0.500 0.000
Au 0.500 0.500 0.500

Computed properties:
Formation energy from the elements (meV per atom): 1889.6
SG: Pm-3m (221)
V (Å³/atom): 20.8
Calculated density (g/cm3): 9.434

***

Below is a geometry-optimized SbAuS3 structure, with properties calculated at the GGA-PBEsol level.

Lattice parameters (Å, degrees): 4.726 4.726 4.726 90.00 90.00 90.00
Fractional positions:
Sb 0.000 0.000 0.000
Au 0.500 0.500 0.500
S 0.000 0.500 0.500
S 0.500 0.000 0.500
S 0.500 0.500 0.000

Computed properties:
Energy above the lowest structure with this stoichiometry (meV/atom): 0
SG: Pm-3m (221)
V (Å³/atom): 21.1
Uncorrected formation energy (eV/atom): 0.467
Calculated density (g/cm3): 6.528

***

Below is a geometry-optimized ScAuS2 structure, with properties calculated at the GGA-PBEsol level.

Lattice parameters (Å, degrees): 7.584 7.584 7.584 28.49 28.49 28.49
Fractional positions:
Sc 0.000 0.000 0.000
Au 0.500 0.500 0.500
S 0.396 0.396 0.396
S 0.604 0.604 0.604

Computed properties:
SG: R-3m (166)
V (Å³/atom): 21.9
Uncorrected formation energy (eV/atom): -1.187
Calculated density (g/cm3): 5.792

***

Below is a geometry-optimized Sc2AuS structure, with properties calculated at the GGA-PBEsol level.

Lattice parameters (Å, degrees): 7.936 7.936 7.936 29.08 29.08 29.08
Fractional positions:
Sc 0.102 0.102 0.102
Sc 0.898 0.898 0.898
Au 0.500 0.500 0.500
S 0.000 0.000 0.000

Computed properties:
SG: R-3m (166)
V (Å³/atom): 26.1
Uncorrected formation energy (eV/atom): -0.660
Calculated density (g/cm3): 5.072

***

Below is a geometry-optimized Te2AuSeS structure, with properties calculated at the GGA-PBEsol level.

Lattice parameters (Å, degrees): 5.356 5.356 4.839 90.00 90.00 90.00
Fractional positions:
Te 0.000 0.500 0.000
Te 0.500 0.000 0.000
Au 0.000 0.000 0.000
Se 0.000 0.000 0.500
S 0.500 0.500 0.500

Computed properties:
SG: P4/mmm (123)
V (Å³/atom): 27.8
Uncorrected formation energy (eV/atom): 0.845
Calculated density (g/cm3): 6.737

***

Below is a geometry-optimized SiAu2S structure, with properties calculated at the GGA-PBEsol level.

Lattice parameters (Å, degrees): 4.551 4.551 4.551 60.00 60.00 60.00
Fractional positions:
Si 0.000 0.000 0.000
Au 0.250 0.250 0.250
Au 0.750 0.750 0.750
S 0.500 0.500 0.500

Computed properties:
SG: Fm-3m (225)
V (Å³/atom): 16.7
Uncorrected formation energy (eV/atom): 0.385
Calculated density (g/cm3): 11.314

***

Below is a geometry-optimized TaAu3S structure, with properties calculated at the GGA-PBEsol level.

Lattice parameters (Å, degrees): 5.011 5.011 5.011 90.00 90.00 90.00
Fractional positions:
Ta 0.000 0.000 0.000
Au 0.000 0.000 0.500
Au 0.000 0.500 0.000
Au 0.500 0.000 0.000
S 0.500 0.500 0.500

Computed properties:
SG: Pm-3m (221)
V (Å³/atom): 25.2
Uncorrected formation energy (eV/atom): 1.453
Calculated density (g/cm3): 10.609

***

Below is a geometry-optimized TcAu3S structure, with properties calculated at the GGA-PBEsol level.

Lattice parameters (Å, degrees): 4.870 4.870 4.870 90.00 90.00 90.00
Fractional positions:
Tc 0.000 0.000 0.000
Au 0.000 0.000 0.500
Au 0.000 0.500 0.000
Au 0.500 0.000 0.000
S 0.500 0.500 0.500

Computed properties:
SG: Pm-3m (221)
V (Å³/atom): 23.1
Uncorrected formation energy (eV/atom): 1.649
Calculated density (g/cm3): 10.364

***

Question: What is the calculated density in the third record?
Answer: 10.763 g/cm3